(1)
Entry from Alexandria via LeMat-Bulk: a relaxed LiThZn2Au4 crystal (GGA-PBE).

Calculated formation energy: -0.496 eV per atom
V: 150.86 Å³/f.u.
Spin magnetization: 0.00 μB/atom
N(E_F): 0.479 states/eV per atom

a = 4.5322 Å, b = 4.5322 Å, c = 25.4418 Å
α = 90.00°, β = 90.00°, γ = 120.00°
Space group R-3m (No. 166, hexagonal axes)
One atom of each set of equivalent atoms:
Li (0.0000, 0.0000, 0.0000) [3 per cell]
Th (0.0000, 0.0000, 0.5000) [3 per cell]
Zn (0.0000, 0.0000, 0.2602) [6 per cell]
Au (0.0000, 0.0000, 0.1036) [6 per cell]
Au (0.0000, 0.0000, 0.3696) [6 per cell]

---

(2)
Entry from Alexandria via LeMat-Bulk: a relaxed Li2TiAu crystal (GGA-PBE).

Calculated formation energy: -0.133 eV per atom
V: 65.03 Å³/f.u.
Energy above the most stable polymorph in this dataset: 8.8 kJ/mol of atoms
Spin magnetization: 0.00 μB/atom
N(E_F): 0.693 states/eV per atom

a = 9.683 Å, b = 2.750 Å, c = 4.939 Å
α = 90.00°, β = 98.55°, γ = 90.00°
Space group C2/m (No. 12)
One atom of each set of equivalent atoms:
Li (0.240, 0.000, 0.233) [4 per cell]
Ti (0.000, 0.000, 0.500) [2 per cell]
Au (0.000, 0.500, 0.000) [2 per cell]

---

(3)
Entry from Alexandria via LeMat-Bulk: a relaxed LiTiAu3 crystal (GGA-PBE).

Calculated formation energy: -0.397 eV per atom
V: 84.15 Å³/f.u.
Energy above the most stable polymorph in this dataset: 0.0 kJ/mol of atoms
Spin magnetization: 0.15 μB/atom
N(E_F): 0.530 states/eV per atom

a = 4.911 Å, b = 5.090 Å, c = 7.524 Å
α = 107.09°, β = 102.02°, γ = 102.10°
Space group P-1 (No. 2)
One atom of each set of equivalent atoms:
Li (0.148, 0.285, 0.037) [2 per cell]
Ti (0.331, 0.718, 0.462) [2 per cell]
Au (0.072, 0.123, 0.349) [2 per cell]
Au (0.263, 0.506, 0.754) [2 per cell]
Au (0.437, 0.879, 0.150) [2 per cell]

---

(4)
Entry from Alexandria via LeMat-Bulk: a relaxed LiTiAu2 crystal (GGA-PBE).

Calculated formation energy: -0.247 eV per atom
V: 67.84 Å³/f.u.
Spin magnetization: 0.00 μB/atom
N(E_F): 0.748 states/eV per atom

a = 2.9723 Å, b = 2.9723 Å, c = 26.6019 Å
α = 90.00°, β = 90.00°, γ = 120.00°
Space group R-3m (No. 166, hexagonal axes)
One atom of each set of equivalent atoms:
Li (0.0000, 0.0000, 0.0000) [3 per cell]
Ti (0.0000, 0.0000, 0.5000) [3 per cell]
Au (0.0000, 0.0000, 0.2511) [6 per cell]

---

(5)
Entry from Alexandria via LeMat-Bulk: a relaxed Li2TiAu crystal (GGA-PBE).

Calculated formation energy: -0.176 eV per atom
V: 66.44 Å³/f.u.
Energy above the most stable polymorph in this dataset: 4.7 kJ/mol of atoms
Spin magnetization: 0.00 μB/atom
N(E_F): 0.639 states/eV per atom

a = 2.804 Å, b = 5.693 Å, c = 8.949 Å
α = 72.85°, β = 86.42°, γ = 76.80°
Space group P1 (No. 1)
One atom of each set of equivalent atoms:
Li (0.000, 0.000, 0.000) [1 per cell]
Li (0.063, 0.734, 0.551) [1 per cell]
Li (0.217, 0.197, 0.506) [1 per cell]
Li (0.606, 0.332, 0.754) [1 per cell]
Ti (0.173, 0.480, 0.054) [1 per cell]
Ti (0.553, 0.650, 0.264) [1 per cell]
Au (0.575, 0.817, 0.799) [1 per cell]
Au (0.810, 0.092, 0.271) [1 per cell]

---

(6)
Entry from Alexandria via LeMat-Bulk: a relaxed LiTiAu3 crystal (GGA-PBE).

Calculated formation energy: 0.284 eV per atom
V: 128.07 Å³/f.u.
Energy above the most stable polymorph in this dataset: 65.7 kJ/mol of atoms
Spin magnetization: 0.20 μB/atom
N(E_F): 0.608 states/eV per atom

a = 5.041 Å, b = 5.041 Å, c = 5.041 Å
α = 90.00°, β = 90.00°, γ = 90.00°
Space group Pm-3m (No. 221)
One atom of each set of equivalent atoms:
Li (0.000, 0.000, 0.000) [1 per cell]
Ti (0.500, 0.500, 0.500) [1 per cell]
Au (0.000, 0.500, 0.500) [3 per cell]

---

(7)
Entry from Alexandria via LeMat-Bulk: a relaxed Li2TiAu3 crystal (GGA-PBE).

Calculated formation energy: -0.472 eV per atom
V: 95.39 Å³/f.u.
Spin magnetization: 0.21 μB/atom
N(E_F): 0.607 states/eV per atom

a = 3.107 Å, b = 3.107 Å, c = 9.881 Å
α = 90.00°, β = 90.00°, γ = 90.00°
Space group P4/mmm (No. 123)
One atom of each set of equivalent atoms:
Li (0.000, 0.000, 0.155) [2 per cell]
Ti (0.000, 0.000, 0.500) [1 per cell]
Au (0.500, 0.500, 0.000) [1 per cell]
Au (0.500, 0.500, 0.320) [2 per cell]

---

(8)
Entry from Alexandria via LeMat-Bulk: a relaxed LiTi2Au crystal (GGA-PBE).

Calculated formation energy: 0.164 eV per atom
V: 68.79 Å³/f.u.
Spin magnetization: 0.00 μB/atom
N(E_F): 0.894 states/eV per atom

a = 7.388 Å, b = 7.388 Å, c = 5.042 Å
α = 90.00°, β = 90.00°, γ = 90.00°
Space group I-42d (No. 122)
One atom of each set of equivalent atoms:
Li (0.000, 0.000, 0.000) [4 per cell]
Ti (0.243, 0.250, 0.625) [8 per cell]
Au (0.000, 0.000, 0.500) [4 per cell]

---

Among the records above, which one has the highest V? LiThZn2Au4

---

The lowest calculated formation energy belongs to which entry? LiThZn2Au4

---

Look up the calculated formation energy of the first one. -0.496 eV per atom

---

Look up the N(E_F) of the third one. 0.530 states/eV per atom